# Nd2RePbO8, relaxed, DFT GGA-PBE
data_Nd2RePbO8
_cell_length_a 7.1518
_cell_length_b 7.3581
_cell_length_c 7.1640
_cell_angle_alpha 90.00
_cell_angle_beta 90.02
_cell_angle_gamma 90.00
_space_group_name_H-M_alt 'C 1 2/m 1'
_space_group_IT_number 12
loop_
_space_group_symop_operation_xyz
'x,y,z'
'-x,-y,-z'
'-x,y,-z'
'x,-y,z'
'x+1/2,y+1/2,z'
'-x+1/2,-y+1/2,-z'
'-x+1/2,y+1/2,-z'
'x+1/2,-y+1/2,z'
loop_
_atom_site_label
_atom_site_type_symbol
_atom_site_fract_x
_atom_site_fract_y
_atom_site_fract_z
Nd1 Nd 0.0007 0.0000 0.2564
Re1 Re 0.0000 0.5000 0.5000
Pb1 Pb 0.0000 0.5000 0.0000
O1 O 0.9996 0.3220 0.3049
O2 O 0.1936 0.0000 0.9996
O3 O 0.2338 0.0000 0.5006
# formation energy (no corrections): -2.144 eV/atom
# spin magnetization: 0.000 μB per cell